Arrangement A

A plane-wave DFT calculation with PBE was carried out for a relaxed TcMo crystal.

The structure in CIF format:
```
data_TcMo
_chemical_formula_sum 'Tc4 Mo4'
_space_group_name_H-M_alt 'F m -3 m'
_space_group_IT_number 225
_space_group_name_Hall '-F 4 2 3'
_cell_length_a 5.1390
_cell_length_b 5.1390
_cell_length_c 5.1390
_cell_angle_alpha 90.00
_cell_angle_beta 90.00
_cell_angle_gamma 90.00
loop_
_atom_site_label
_atom_site_fract_x
_atom_site_fract_y
_atom_site_fract_z
Tc1 0.0000 0.0000 0.0000
Mo1 0.0000 0.0000 0.5000
```

***

Arrangement B

A plane-wave DFT calculation with PBE was carried out for a relaxed TcMo crystal.

The structure in CIF format:
```
data_TcMo
_chemical_formula_sum 'Tc4 Mo4'
_space_group_name_H-M_alt 'P 4/n m m'
_space_group_IT_number 129
_cell_length_a 4.4260
_cell_length_b 4.4260
_cell_length_c 6.2597
_cell_angle_alpha 90.00
_cell_angle_beta 90.00
_cell_angle_gamma 90.00
loop_
_space_group_symop_operation_xyz
'x,y,z'
'-x,-y,-z'
'-y+1/2,x,z'
'y+1/2,-x,-z'
'-x+1/2,-y+1/2,z'
'x+1/2,y+1/2,-z'
'y,-x+1/2,z'
'-y,x+1/2,-z'
'x+1/2,-y,-z'
'-x+1/2,y,z'
'-y,-x,-z'
'y,x,z'
'-x,y+1/2,-z'
'x,-y+1/2,z'
'y+1/2,x+1/2,-z'
'-y+1/2,-x+1/2,z'
loop_
_atom_site_label
_atom_site_fract_x
_atom_site_fract_y
_atom_site_fract_z
Tc1 0.2500 0.2500 0.2298
Tc2 0.2500 0.7500 0.5000
Mo1 0.2500 0.2500 0.7416
Mo2 0.2500 0.7500 0.0000
```

***

Tell me which of them is the least stable. Sure, it is arrangement A.

***

Arrangement A

A plane-wave DFT calculation with PBE was carried out for a relaxed TlAs2Os crystal.

The structure in CIF format:
```
data_TlAs2Os
_chemical_formula_sum 'Tl2 As4 Os2'
_space_group_name_H-M_alt 'I m m m'
_space_group_IT_number 71
_space_group_name_Hall '-I 2 2'
_cell_length_a 3.0269
_cell_length_b 4.8849
_cell_length_c 11.1239
_cell_angle_alpha 90.00
_cell_angle_beta 90.00
_cell_angle_gamma 90.00
loop_
_atom_site_label
_atom_site_fract_x
_atom_site_fract_y
_atom_site_fract_z
Tl1 0.0000 0.0000 0.0000
As1 0.0000 0.5000 0.1869
Os1 0.0000 0.0000 0.5000
```

***

Arrangement B

A plane-wave DFT calculation with PBE was carried out for a relaxed TlAs2Os crystal.

The structure in CIF format:
```
data_TlAs2Os
_chemical_formula_sum 'Tl3 As6 Os3'
_space_group_name_H-M_alt 'R -3 m'
_space_group_IT_number 166
_space_group_name_Hall '-R 3 2"'
_cell_length_a 3.1898
_cell_length_b 3.1898
_cell_length_c 28.1058
_cell_angle_alpha 90.00
_cell_angle_beta 90.00
_cell_angle_gamma 120.00
loop_
_atom_site_label
_atom_site_fract_x
_atom_site_fract_y
_atom_site_fract_z
Tl1 0.0000 0.0000 0.0000
As1 0.0000 0.0000 0.2302
Os1 0.0000 0.0000 0.5000
```

***

Tell me which of them is the least stable. Sure, it is arrangement A.

***

Arrangement A

A plane-wave DFT calculation with PBE was carried out for a relaxed Sr2ZrNi crystal.

The structure in CIF format:
```
data_Sr2ZrNi
_chemical_formula_sum 'Sr2 Zr1 Ni1'
_space_group_name_H-M_alt 'P 4 m m'
_space_group_IT_number 99
_space_group_name_Hall 'P 4 -2'
_cell_length_a 3.5470
_cell_length_b 3.5470
_cell_length_c 9.7450
_cell_angle_alpha 90.00
_cell_angle_beta 90.00
_cell_angle_gamma 90.00
loop_
_atom_site_label
_atom_site_fract_x
_atom_site_fract_y
_atom_site_fract_z
Sr1 0.0000 0.0000 0.0000
Sr2 0.5000 0.5000 0.3777
Zr1 0.0000 0.0000 0.6605
Ni1 0.5000 0.5000 0.7562
```

***

Arrangement B

A plane-wave DFT calculation with PBE was carried out for a relaxed Sr2ZrNi crystal.

The structure in CIF format:
```
data_Sr2ZrNi
_chemical_formula_sum 'Sr8 Zr4 Ni4'
_space_group_name_H-M_alt 'F -4 3 m'
_space_group_IT_number 216
_space_group_name_Hall 'F -4 2 3'
_cell_length_a 7.5366
_cell_length_b 7.5366
_cell_length_c 7.5366
_cell_angle_alpha 90.00
_cell_angle_beta 90.00
_cell_angle_gamma 90.00
loop_
_atom_site_label
_atom_site_fract_x
_atom_site_fract_y
_atom_site_fract_z
Sr1 0.0000 0.0000 0.0000
Sr2 0.2500 0.2500 0.2500
Zr1 0.0000 0.0000 0.5000
Ni1 0.2500 0.2500 0.7500
```

***

Tell me which of them is the least stable. Sure, it is arrangement B.